1.
A PBEsol-optimized structure of Zn3Rh, computed with SCAN.

a = 2.928 Å, b = 4.192 Å, c = 4.367 Å
α = 90.00°, β = 90.00°, γ = 90.00°
Element x y z (fractional)
Zn  0.000  0.500  0.350
Rh  0.000  0.000  0.981
Zn  0.500  0.000  0.478
Zn  0.500  0.500  0.858

Results
Energy of formation from the pure elements   -0.285 eV/atom
Energy   -18.864 eV per atom
Total magnetic moment   0.00 μB/f.u.
Fermi-level density of states   1.32 states/eV/cell

2.
A PBEsol-optimized structure of Zn5Rh, computed with SCAN.

a = 2.843 Å, b = 4.205 Å, c = 7.007 Å
α = 90.00°, β = 102.20°, γ = 90.00°
Element x y z (fractional)
Rh  0.001  0.000  0.003
Zn  0.223  0.500  0.441
Zn  0.551  0.500  0.102
Zn  0.337  0.000  0.682
Zn  0.887  0.500  0.776
Zn  0.668  0.000  0.328

Results
Energy of formation from the pure elements   -0.192 eV/atom
Energy   -17.083 eV per atom
Total magnetic moment   0.00 μB/f.u.
Fermi-level density of states   1.57 states/eV/cell

3.
A PBEsol-optimized structure of Zn2Rh, computed with SCAN.

a = 7.873 Å, b = 7.873 Å, c = 7.873 Å
α = 60.00°, β = 60.00°, γ = 60.00°
Element x y z (fractional)
Zn  0.125  0.625  0.625
Rh  0.842  0.842  0.473
Zn  0.194  0.806  0.806
Rh  0.842  0.473  0.842
Zn  0.194  0.194  0.806
Zn  0.444  0.444  0.056
Rh  0.842  0.842  0.842
Zn  0.056  0.444  0.444
Rh  0.473  0.842  0.842
Zn  0.625  0.125  0.625
Zn  0.806  0.806  0.194
Zn  0.806  0.194  0.194
Zn  0.444  0.056  0.444
Rh  0.408  0.408  0.777
Rh  0.408  0.777  0.408
Rh  0.408  0.408  0.408
Rh  0.777  0.408  0.408
Zn  0.056  0.056  0.444
Zn  0.806  0.194  0.806
Zn  0.625  0.625  0.125
Zn  0.444  0.056  0.056
Zn  0.056  0.444  0.056
Zn  0.625  0.625  0.625
Zn  0.194  0.806  0.194

Results
Energy of formation from the pure elements   -0.301 eV/atom
Energy   -20.568 eV per atom
Total magnetic moment   0.00 μB/f.u.
Fermi-level density of states   4.81 states/eV/cell

4.
A PBEsol-optimized structure of ZnRh3, computed with SCAN.

a = 2.691 Å, b = 2.691 Å, c = 8.531 Å
α = 90.00°, β = 90.00°, γ = 120.00°
Element x y z (fractional)
Zn  0.000  0.000  0.500
Rh  0.333  0.667  0.747
Rh  0.000  0.000  0.000
Rh  0.333  0.667  0.253

Results
Energy of formation from the pure elements   -0.103 eV/atom
Energy   -28.810 eV per atom
Total magnetic moment   0.00 μB/f.u.
Fermi-level density of states   4.74 states/eV/cell